#1
SrTePdO: relaxed, PBE.

Cell: 4.7567 4.7567 8.3957 Å, 90.00 90.00 90.00°
Sites, in units of the cell vectors:
O1 0.7500 0.7500 0.4899
O2 0.2500 0.2500 0.5101
Pd1 0.7500 0.7500 0.2390
Pd2 0.2500 0.2500 0.7610
Sr1 0.7500 0.2500 0.0000
Sr2 0.2500 0.7500 0.0000
Te1 0.2500 0.2500 0.2863
Te2 0.7500 0.7500 0.7137

symmetry: P4/nmm

#2
SrTePdO: relaxed, PBE.

Cell: 4.0442 4.0442 11.8831 Å, 90.00 90.00 90.00°
Sites, in units of the cell vectors:
O1 0.7500 0.2500 0.5000
O2 0.2500 0.7500 0.5000
Pd1 0.7500 0.7500 0.1150
Pd2 0.2500 0.2500 0.8850
Sr1 0.2500 0.2500 0.4003
Sr2 0.7500 0.7500 0.5997
Te1 0.2500 0.2500 0.1121
Te2 0.7500 0.7500 0.8879

symmetry: P4/nmm

Which structure above is the least stable? It is #1.